Entry 1:
SiC after structural relaxation, computed with GGA-PBE.

Cell lengths 2.5485, 3.9655, 3.9656 Å; angles 90.00, 90.02, 90.00 degrees
Positions (direct):
1 C 0.5000 0.0000 0.5000
2 C 0.5000 0.5000 0.0000
3 Si 0.5000 0.0000 0.0000
4 Si 0.5000 0.5000 0.5000

Properties
- Fermi-level density of states: 0.343 states/eV per atom
- Uncorrected formation energy: 1.1016 eV per atom
- Calculated total energy: -6.222 eV/atom
- ΔE to the lowest computed polymorph: 1.308 eV/atom
- Space group: P4/mmm, No. 123

***

Entry 2:
SiC2 after structural relaxation, computed with GGA-PBE.

Cell lengths 3.9908, 3.9908, 9.7717 Å; angles 90.00, 90.00, 120.00 degrees
Positions (direct):
1 C 0.1219 0.2439 0.7500
2 C 0.7561 0.8781 0.7500
3 C 0.1219 0.8781 0.7500
4 C 0.8781 0.7561 0.2500
5 C 0.2439 0.1219 0.2500
6 C 0.0000 0.0000 0.5000
7 C 0.0000 0.0000 0.0000
8 C 0.8781 0.1219 0.2500
9 Si 0.6667 0.3333 0.3803
10 Si 0.3333 0.6667 0.8803
11 Si 0.3333 0.6667 0.6197
12 Si 0.6667 0.3333 0.1197

Properties
- Fermi-level density of states: 0.394 states/eV per atom
- Uncorrected formation energy: 1.5999 eV per atom
- Calculated total energy: -6.357 eV/atom
- ΔE to the lowest computed polymorph: 1.268 eV/atom
- Space group: P6_3/mmc, No. 194

***

Entry 3:
SiC after structural relaxation, computed with GGA-PBE.

Cell lengths 3.7823, 3.7823, 3.7823 Å; angles 79.05, 79.05, 79.05 degrees
Positions (direct):
1 C 0.0824 0.0824 0.0824
2 C 0.9176 0.9176 0.9176
3 Si 0.6776 0.6776 0.6776
4 Si 0.3224 0.3224 0.3224

Properties
- Fermi-level density of states: 0.500 states/eV per atom
- Uncorrected formation energy: 1.1847 eV per atom
- Calculated total energy: -6.139 eV/atom
- ΔE to the lowest computed polymorph: 1.391 eV/atom
- Space group: R-3m, No. 166

***

Entry 4:
SiC2 after structural relaxation, computed with GGA-PBE.

Cell lengths 2.7881, 2.7881, 3.7644 Å; angles 90.00, 90.00, 90.00 degrees
Positions (direct):
1 C 0.0000 0.0000 0.5000
2 C 0.5000 0.5000 0.0000
3 Si 0.0000 0.0000 0.0000

Properties
- Fermi-level density of states: 0.647 states/eV per atom
- Uncorrected formation energy: 1.8888 eV per atom
- Calculated total energy: -6.068 eV/atom
- ΔE to the lowest computed polymorph: 1.557 eV/atom
- Space group: P4/mmm, No. 123

***

Entry 5:
SiC after structural relaxation, computed with GGA-PBE.

Cell lengths 5.3015, 5.3015, 2.8309 Å; angles 90.00, 90.00, 149.37 degrees
Positions (direct):
1 C 0.6474 0.3526 0.7500
2 C 0.3526 0.6474 0.2500
3 Si 0.1538 0.8462 0.2500
4 Si 0.8462 0.1538 0.7500

Properties
- Fermi-level density of states: 0.488 states/eV per atom
- Uncorrected formation energy: 0.8652 eV per atom
- Calculated total energy: -6.458 eV/atom
- ΔE to the lowest computed polymorph: 1.072 eV/atom
- Space group: Cmcm, No. 63

***

Entry 6:
SiC2 after structural relaxation, computed with GGA-PBE.

Cell lengths 2.8786, 3.9343, 4.7449 Å; angles 90.00, 90.00, 90.00 degrees
Positions (direct):
1 C 0.0000 0.8692 0.4070
2 C 0.5000 0.3692 0.0930
3 C 0.0000 0.1308 0.5930
4 C 0.5000 0.6308 0.9070
5 Si 0.0000 0.0000 0.0000
6 Si 0.5000 0.5000 0.5000

Properties
- Fermi-level density of states: 0.271 states/eV per atom
- Uncorrected formation energy: 0.7253 eV per atom
- Calculated total energy: -7.232 eV/atom
- ΔE to the lowest computed polymorph: 0.394 eV/atom
- Space group: Pnnm, No. 58

***

Entry 7:
SiC after structural relaxation, computed with GGA-PBE.

Cell lengths 3.0948, 3.0948, 73.4240 Å; angles 88.79, 88.79, 60.00 degrees
Positions (direct):
1 Si 0.5172 0.5172 0.4483
2 Si 0.3448 0.3448 0.9655
3 Si 0.1609 0.1609 0.5172
4 Si 0.8391 0.8391 0.4828
5 Si 0.5517 0.5517 0.3448
6 Si 0.0000 0.0000 0.0000
7 Si 0.0689 0.0689 0.7932
8 Si 0.2299 0.2299 0.3103
9 Si 0.4828 0.4828 0.5517
10 Si 0.1379 0.1379 0.5862
11 Si 0.3793 0.3793 0.8621
12 Si 0.9310 0.9310 0.2069
13 Si 0.6552 0.6552 0.0345
14 Si 0.6207 0.6207 0.1379
15 Si 0.7011 0.7011 0.8966
16 Si 0.0919 0.0919 0.7242
17 Si 0.0230 0.0230 0.9311
18 Si 0.9770 0.9770 0.0690
19 Si 0.5862 0.5862 0.2414
20 Si 0.2759 0.2759 0.1724
21 Si 0.7701 0.7701 0.6897
22 Si 0.2069 0.2069 0.3793
23 Si 0.7241 0.7241 0.8276
24 Si 0.8621 0.8621 0.4138
25 Si 0.9080 0.9080 0.2759
26 Si 0.4138 0.4138 0.7587
27 Si 0.7931 0.7931 0.6207
28 Si 0.2989 0.2989 0.1034
29 Si 0.4483 0.4483 0.6552
30 C 0.3535 0.3535 0.9396
31 C 0.2155 0.2155 0.3535
32 C 0.7097 0.7097 0.8708
33 C 0.8707 0.8707 0.3879
34 C 0.3075 0.3075 0.0776
35 C 0.6638 0.6638 0.0086
36 C 0.8017 0.8017 0.5948
37 C 0.2385 0.2385 0.2845
38 C 0.1465 0.1465 0.5604
39 C 0.0086 0.0086 0.9742
40 C 0.9167 0.9167 0.2500
41 C 0.6293 0.6293 0.1120
42 C 0.8477 0.8477 0.4569
43 C 0.7328 0.7328 0.8018
44 C 0.7787 0.7787 0.6638
45 C 0.9856 0.9856 0.0431
46 C 0.0316 0.0316 0.9052
47 C 0.2845 0.2845 0.1466
48 C 0.3879 0.3879 0.8362
49 C 0.5259 0.5259 0.4223
50 C 0.5604 0.5604 0.3189
51 C 0.4569 0.4569 0.6293
52 C 0.4914 0.4914 0.5258
53 C 0.1006 0.1006 0.6983
54 C 0.9397 0.9397 0.1810
55 C 0.1695 0.1695 0.4914
56 C 0.0776 0.0776 0.7673
57 C 0.5949 0.5949 0.2154
58 C 0.4224 0.4224 0.7327

Properties
- Fermi-level density of states: 0.000 states/eV per atom
- Uncorrected formation energy: -0.2064 eV per atom
- Calculated total energy: -7.530 eV/atom
- ΔE to the lowest computed polymorph: 0.000 eV/atom
- Space group: R3m, No. 160

***

Entry 8:
SiC after structural relaxation, computed with GGA-PBE.

Cell lengths 6.0776, 6.0776, 6.0776 Å; angles 156.09, 151.72, 37.36 degrees
Positions (direct):
1 Si 0.1522 0.9022 0.7500
2 Si 0.8478 0.0978 0.2500
3 C 0.4661 0.2161 0.7500
4 C 0.5339 0.7839 0.2500

Properties
- Fermi-level density of states: 0.198 states/eV per atom
- Uncorrected formation energy: 0.4338 eV per atom
- Calculated total energy: -6.890 eV/atom
- ΔE to the lowest computed polymorph: 0.640 eV/atom
- Space group: Imma, No. 74

***

Entry 9:
Si5C4 after structural relaxation, computed with GGA-PBE.

Cell lengths 5.8073, 5.8073, 6.0138 Å; angles 90.00, 90.00, 120.00 degrees
Positions (direct):
1 Si 0.7488 0.7488 0.7500
2 Si 0.6667 0.3333 0.0000
3 Si 0.3333 0.6667 0.0000
4 Si 0.2512 0.2512 0.2500
5 Si 0.0000 0.7488 0.2500
6 Si 0.3333 0.6667 0.5000
7 Si 0.7488 0.0000 0.2500
8 Si 0.0000 0.2512 0.7500
9 Si 0.2512 0.0000 0.7500
10 Si 0.6667 0.3333 0.5000
11 C 0.5777 0.5777 0.2500
12 C 0.0000 0.0000 0.0000
13 C 0.4223 0.0000 0.2500
14 C 0.0000 0.0000 0.5000
15 C 0.0000 0.5777 0.7500
16 C 0.4223 0.4223 0.7500
17 C 0.5777 0.0000 0.7500
18 C 0.0000 0.4223 0.2500

Properties
- Fermi-level density of states: 0.194 states/eV per atom
- Uncorrected formation energy: 1.1320 eV per atom
- Calculated total energy: -5.980 eV/atom
- ΔE to the lowest computed polymorph: 0.074 eV/atom
- Space group: P6_3/mcm, No. 193

***

Entry 10:
Si3C2 after structural relaxation, computed with GGA-PBE.

Cell lengths 7.6282, 6.5162, 5.0675 Å; angles 81.33, 57.62, 41.05 degrees
Positions (direct):
1 Si 0.9733 0.9123 0.7096
2 Si 0.8036 0.1964 0.1964
3 Si 0.4047 0.7096 0.9123
4 Si 0.5404 0.8453 0.2767
5 Si 0.3377 0.2767 0.8453
6 Si 0.0536 0.4464 0.4464
7 C 0.9797 0.6171 0.8145
8 C 0.5887 0.8145 0.6171
9 C 0.6329 0.2703 0.6613
10 C 0.4355 0.6613 0.2703

Properties
- Fermi-level density of states: 0.122 states/eV per atom
- Uncorrected formation energy: 0.2299 eV per atom
- Calculated total energy: -6.713 eV/atom
- ΔE to the lowest computed polymorph: 0.000 eV/atom
- Space group: Fdd2, No. 43

***

Entry 11:
SiC after structural relaxation, computed with GGA-PBE.

Cell lengths 4.9875, 4.9875, 2.7221 Å; angles 90.00, 90.00, 120.00 degrees
Positions (direct):
1 Si 0.5000 0.0000 0.0000
2 Si 0.5000 0.5000 0.0000
3 Si 0.0000 0.5000 0.0000
4 C 0.3333 0.6667 0.5000
5 C 0.0000 0.0000 0.0000
6 C 0.6667 0.3333 0.5000

Properties
- Fermi-level density of states: 0.155 states/eV per atom
- Uncorrected formation energy: 1.2363 eV per atom
- Calculated total energy: -6.087 eV/atom
- ΔE to the lowest computed polymorph: 1.443 eV/atom
- Space group: P6/mmm, No. 191

***

Entry 12:
SiC after structural relaxation, computed with GGA-PBE.

Cell lengths 5.3607, 3.1176, 7.6169 Å; angles 90.00, 125.95, 90.00 degrees
Positions (direct):
1 Si 0.7265 0.0000 0.8976
2 Si 0.2735 0.5000 0.6024
3 Si 0.7265 0.5000 0.3976
4 Si 0.2735 0.0000 0.1024
5 C 0.4582 0.0000 0.5796
6 C 0.5418 0.5000 0.9204
7 C 0.4582 0.5000 0.0796
8 C 0.5418 0.0000 0.4204

Properties
- Fermi-level density of states: 0.072 states/eV per atom
- Uncorrected formation energy: 0.3113 eV per atom
- Calculated total energy: -7.012 eV/atom
- ΔE to the lowest computed polymorph: 0.518 eV/atom
- Space group: C2/m, No. 12

***

> uncorrected formation energy of number 11 (SiC)?

1.2363 eV per atom

***

> The highest Fermi-level density of states belongs to which entry?

number 4

***

Copy entry 10 word for word.
Si3C2 after structural relaxation, computed with GGA-PBE.

Cell lengths 7.6282, 6.5162, 5.0675 Å; angles 81.33, 57.62, 41.05 degrees
Positions (direct):
1 Si 0.9733 0.9123 0.7096
2 Si 0.8036 0.1964 0.1964
3 Si 0.4047 0.7096 0.9123
4 Si 0.5404 0.8453 0.2767
5 Si 0.3377 0.2767 0.8453
6 Si 0.0536 0.4464 0.4464
7 C 0.9797 0.6171 0.8145
8 C 0.5887 0.8145 0.6171
9 C 0.6329 0.2703 0.6613
10 C 0.4355 0.6613 0.2703

Properties
- Fermi-level density of states: 0.122 states/eV per atom
- Uncorrected formation energy: 0.2299 eV per atom
- Calculated total energy: -6.713 eV/atom
- ΔE to the lowest computed polymorph: 0.000 eV/atom
- Space group: Fdd2, No. 43

***

Please write out number 2 again, unchanged.
SiC2 after structural relaxation, computed with GGA-PBE.

Cell lengths 3.9908, 3.9908, 9.7717 Å; angles 90.00, 90.00, 120.00 degrees
Positions (direct):
1 C 0.1219 0.2439 0.7500
2 C 0.7561 0.8781 0.7500
3 C 0.1219 0.8781 0.7500
4 C 0.8781 0.7561 0.2500
5 C 0.2439 0.1219 0.2500
6 C 0.0000 0.0000 0.5000
7 C 0.0000 0.0000 0.0000
8 C 0.8781 0.1219 0.2500
9 Si 0.6667 0.3333 0.3803
10 Si 0.3333 0.6667 0.8803
11 Si 0.3333 0.6667 0.6197
12 Si 0.6667 0.3333 0.1197

Properties
- Fermi-level density of states: 0.394 states/eV per atom
- Uncorrected formation energy: 1.5999 eV per atom
- Calculated total energy: -6.357 eV/atom
- ΔE to the lowest computed polymorph: 1.268 eV/atom
- Space group: P6_3/mmc, No. 194